The following is a PBE calculation of an optimized crystal structure of Mg5Ag2HgPb2, from Alexandria via LeMat-Bulk.

Unit cell a=3.617 b=11.298 c=11.298 alpha=90.00 beta=90.00 gamma=90.00
Fractional positions:
Hg 0.000 0.500 0.500
Mg 0.500 0.000 0.500
Pb 0.000 0.677 0.177
Mg 0.500 0.703 0.452
Hg 0.000 0.000 0.000
Mg 0.500 0.048 0.797
Mg 0.500 0.452 0.297
Pb 0.000 0.177 0.323
Pb 0.000 0.823 0.677
Mg 0.500 0.548 0.703
Ag 0.000 0.630 0.870
Ag 0.000 0.130 0.630
Pb 0.000 0.323 0.823
Mg 0.500 0.500 0.000
Mg 0.500 0.297 0.548
Ag 0.000 0.870 0.370
Ag 0.000 0.370 0.130
Mg 0.500 0.952 0.203
Mg 0.500 0.203 0.048
Mg 0.500 0.797 0.952

The total magnetization comes out at 0.00 μB/cell. For the formation enthalpy at 0 K, the calculation gives -0.109 eV/atom. Its raw total energy is -45.0 eV/cell.

The following is a PBE calculation of an optimized crystal structure of In2SiI, from Alexandria via LeMat-Bulk.

Unit cell a=5.399 b=5.399 c=5.399 alpha=60.00 beta=60.00 gamma=60.00
Fractional positions:
In 0.250 0.250 0.250
I 0.500 0.500 0.500
Si 0.000 0.000 0.000
In 0.750 0.750 0.750

The total magnetization comes out at 0.00 μB/cell. The calculation puts the energy above the most stable polymorph in this dataset at 243 meV/atom. Its raw total energy is -10.8 eV/cell. As for the formation energy without anion corrections: 9.2 kcal/mol of atoms.

The following is a PBE calculation of an optimized crystal structure of Pr2Dy5Sc2, from Alexandria via LeMat-Bulk.

Unit cell a=12.626 b=5.965 c=10.300 alpha=106.83 beta=127.80 gamma=90.00
Fractional positions:
Pr 0.000 0.851 0.000
Dy 0.724 0.853 0.085
Dy 0.276 0.768 0.915
Dy 0.666 0.826 0.715
Sc 0.802 0.310 0.708
Dy 0.931 0.272 0.500
Dy 0.549 0.326 0.715
Dy 0.069 0.772 0.500
Sc 0.594 0.101 0.292
Sc 0.198 0.601 0.292
Dy 0.861 0.353 0.085
Pr 0.800 0.744 0.500
Dy 0.334 0.111 0.285
Sc 0.406 0.810 0.708
Dy 0.139 0.268 0.915
Pr 0.500 0.351 0.000
Dy 0.451 0.611 0.285
Pr 0.200 0.244 0.500

The total magnetization comes out at 0.00 μB/cell. For the formation enthalpy at 0 K, the calculation gives 0.188 eV/atom. The calculation puts the energy above the most stable polymorph in this dataset at 144 meV/atom. Its raw total energy is -87.1 eV/cell.

The following is a PBE calculation of an optimized crystal structure of LiNi3Os, from Alexandria via LeMat-Bulk.

Unit cell a=4.537 b=4.537 c=4.537 alpha=90.00 beta=90.00 gamma=90.00
Fractional positions:
Ni 0.000 0.500 0.000
Os 0.000 0.000 0.000
Ni 0.500 0.000 0.000
Li 0.500 0.500 0.500
Ni 0.000 0.000 0.500

The total magnetization comes out at 0.00 μB/cell. For the formation enthalpy at 0 K, the calculation gives 1.064 eV/atom. The calculation puts the energy above the most stable polymorph in this dataset at 961 meV/atom. Its raw total energy is -25.2 eV/cell.

The following is a PBE calculation of an optimized crystal structure of Sm2ErAg, from Alexandria via LeMat-Bulk.

Unit cell a=3.610 b=3.610 c=10.725 alpha=80.35 beta=80.35 gamma=60.06
Fractional positions:
Sm 0.076 0.076 0.772
Er 0.500 0.500 0.501
Ag 0.667 0.667 0.998
Sm 0.257 0.257 0.229

The total magnetization comes out at 0.00 μB/cell. For the formation enthalpy at 0 K, the calculation gives -0.001 eV/atom. The calculation puts the energy above the most stable polymorph in this dataset at 105 meV/atom. Its raw total energy is -16.9 eV/cell.

The following is a PBE calculation of an optimized crystal structure of Cs4Pr3ScO8, from Alexandria via LeMat-Bulk.

Unit cell a=7.292 b=8.100 c=7.291 alpha=116.73 beta=120.00 gamma=90.00
Fractional positions:
Cs 0.500 0.000 0.000
O 0.211 0.666 0.422
Cs 0.500 0.000 0.500
O 0.276 0.328 0.552
Pr 0.500 0.500 0.000
Pr 0.000 0.500 0.500
Pr 0.500 0.500 0.500
O 0.211 0.665 0.955
O 0.724 0.672 0.448
Cs 0.000 0.000 0.000
Cs 0.000 0.000 0.500
Sc 0.000 0.500 0.000
O 0.789 0.335 0.045
O 0.744 0.665 0.955
O 0.789 0.334 0.578
O 0.256 0.335 0.045

The total magnetization comes out at 0.00 μB/cell. Its raw total energy is -103.1 eV/cell. As for the formation energy without anion corrections: -56.7 kcal/mol of atoms.

The following is a PBE calculation of an optimized crystal structure of RbMgNb, from Alexandria via LeMat-Bulk.

Unit cell a=12.601 b=4.648 c=4.634 alpha=112.24 beta=95.81 gamma=83.80
Fractional positions:
Rb 0.905 0.930 0.231
Mg 0.243 0.598 0.559
Nb 0.278 0.949 0.209
Nb 0.343 0.216 0.939
Mg 0.120 0.281 0.875
Rb 0.554 0.545 0.603

The total magnetization comes out at 0.00 μB/cell. For the formation enthalpy at 0 K, the calculation gives 0.683 eV/atom. The calculation puts the energy above the most stable polymorph in this dataset at 301 meV/atom. Its raw total energy is -21.2 eV/cell.

The following is a PBE calculation of an optimized crystal structure of Li2NiH6Ru, from Alexandria via LeMat-Bulk.

Unit cell a=3.353 b=3.353 c=6.606 alpha=90.00 beta=90.00 gamma=90.00
Fractional positions:
Li 0.000 0.000 0.248
Ru 0.500 0.500 0.000
Li 0.000 0.000 0.752
H 0.000 0.500 0.500
H 0.500 0.500 0.740
Ni 0.500 0.500 0.500
H 0.500 0.000 0.000
H 0.000 0.500 0.000
H 0.500 0.500 0.260
H 0.500 0.000 0.500

The total magnetization comes out at 0.00 μB/cell. Its raw total energy is -40.9 eV/cell.

The following is a PBE calculation of an optimized crystal structure of NaSc2SO, from Alexandria via LeMat-Bulk.

Unit cell a=5.048 b=4.360 c=5.048 alpha=90.00 beta=90.00 gamma=90.00
Fractional positions:
Na 0.000 0.000 0.000
O 0.500 0.500 0.500
S 0.000 0.500 0.000
Sc 0.500 0.000 0.000
Sc 0.000 0.000 0.500

The total magnetization comes out at 0.00 μB/cell. Its raw total energy is -19.6 eV/cell. As for the formation energy without anion corrections: 15.8 kcal/mol of atoms.

The following is a PBE calculation of an optimized crystal structure of Rb4I2F, from Alexandria via LeMat-Bulk.

Unit cell a=5.540 b=5.540 c=11.683 alpha=76.28 beta=76.28 gamma=90.00
Fractional positions:
F 0.000 0.000 0.000
I 0.385 0.385 0.231
I 0.615 0.615 0.769
Rb 0.174 0.174 0.653
Rb 0.000 0.500 0.000
Rb 0.826 0.826 0.347
Rb 0.500 0.000 0.000

The total magnetization comes out at 0.00 μB/cell. Its raw total energy is -19.5 eV/cell. As for the formation energy without anion corrections: -35.0 kcal/mol of atoms.

The following is a PBE calculation of an optimized crystal structure of CdBr3, from Alexandria via LeMat-Bulk.

Unit cell a=6.420 b=6.420 c=6.420 alpha=145.00 beta=106.53 gamma=84.05
Fractional positions:
Br 0.388 0.343 0.044
Cd 0.747 0.000 0.747
Br 0.998 0.500 0.498
Br 0.701 0.657 0.044

The total magnetization comes out at 1.01 μB/cell. Its raw total energy is -7.5 eV/cell. As for the formation energy without anion corrections: -9.0 kcal/mol of atoms.

The following is a PBE calculation of an optimized crystal structure of ZnFePt, from Alexandria via LeMat-Bulk.

Unit cell a=2.795 b=3.594 c=8.342 alpha=90.00 beta=90.04 gamma=90.00
Fractional positions:
Fe 0.872 0.291 0.833
Zn 0.373 0.791 0.344
Pt 0.372 0.791 0.006
Pt 0.873 0.291 0.506
Fe 0.373 0.791 0.679
Zn 0.872 0.291 0.169

The total magnetization comes out at 5.88 μB/cell. For the formation enthalpy at 0 K, the calculation gives -0.266 eV/atom. Its raw total energy is -33.2 eV/cell.

Question: raw total energy of number 8 (Li2NiH6Ru)?
Answer: -40.9 eV/cell

Question: Among the records above, which one has the highest raw total energy?
Answer: CdBr3

Question: The highest raw total energy belongs to which entry?
Answer: CdBr3

Question: Which of these has the lowest raw total energy?
Answer: Cs4Pr3ScO8